## PmTlCuHg (PBE)

Data for crystalline PmTlCuHg at its relaxed geometry.

Results
Its volume is 23.20 A^3/atom. The total energy comes out at -49.01 eV for the cell shown.

Structure (CIF):
```
data_PmTlCuHg
_cell_length_a 7.187
_cell_length_b 7.187
_cell_length_c 7.187
_cell_angle_alpha 90.00
_cell_angle_beta 90.00
_cell_angle_gamma 90.00
_space_group_name_H-M_alt 'F -4 3 m'
_space_group_IT_number 216
_space_group_name_Hall 'F -4 2 3'
loop_
_atom_site_label
_atom_site_fract_x
_atom_site_fract_y
_atom_site_fract_z
_atom_site_occupancy
Pm1 0.000 0.000 0.000 1
Tl1 0.000 0.000 0.500 1
Cu1 0.250 0.250 0.750 1
Hg1 0.250 0.250 0.250 1
```